Entry 1:
Density functional theory data (PBE) for MgSi2NiGe after structural relaxation.

symmetry = P4/mmm, No. 123
DOS(E_F) = 0.52 states/eV per atom
uncorrected formation energy = 278.8 meV per atom
total moment = 0.0 μB per formula unit
final energy = -4.289 eV per atom
calculated density = 3.73 g/cm3

a = 4.421 Å, b = 4.820 Å, c = 4.421 Å
α = 90.00°, β = 90.00°, γ = 90.00°
Positions (direct):
Mg 0.500 0.500 0.500
Ni 0.000 0.000 0.000
Ge 0.000 0.500 0.000
Si 0.000 0.000 0.500
Si 0.500 0.000 0.000

***

Entry 2:
Density functional theory data (PBE) for CdFe2CoN after structural relaxation.

symmetry = P4/mmm, No. 123
DOS(E_F) = 0.70 states/eV per atom
uncorrected formation energy = 9.2 meV per atom
total moment = 5.4 μB per formula unit
final energy = -6.645 eV per atom
calculated density = 8.40 g/cm3

a = 3.878 Å, b = 3.878 Å, c = 3.904 Å
α = 90.00°, β = 90.00°, γ = 90.00°
Positions (direct):
N 0.000 0.000 0.000
Co 0.000 0.000 0.500
Fe 0.000 0.500 0.000
Fe 0.500 0.000 0.000
Cd 0.500 0.500 0.500

***

Entry 3:
Density functional theory data (PBE) for NaTl5Se3 after structural relaxation.

symmetry = C2/m, No. 12
energy above the most stable polymorph in this dataset = 0 meV/atom
DOS(E_F) = 0.04 states/eV per atom
uncorrected formation energy = -356.3 meV per atom
total moment = 0.0 μB per formula unit
final energy = -2.979 eV per atom
calculated density = 6.61 g/cm3

a = 8.556 Å, b = 8.556 Å, c = 10.568 Å
α = 70.71°, β = 70.71°, γ = 64.82°
Positions (direct):
Na 0.115 0.115 0.672
Na 0.885 0.885 0.328
Tl 0.906 0.335 0.278
Tl 0.322 0.678 0.000
Tl 0.769 0.769 0.063
Tl 0.449 0.449 0.322
Tl 0.551 0.551 0.678
Tl 0.231 0.231 0.937
Tl 0.335 0.906 0.278
Tl 0.678 0.322 0.000
Tl 0.094 0.665 0.722
Tl 0.665 0.094 0.722
Se 0.709 0.709 0.809
Se 0.675 0.675 0.397
Se 0.000 0.000 0.000
Se 0.000 0.000 0.500
Se 0.291 0.291 0.191
Se 0.325 0.325 0.603

***

Entry 4:
Density functional theory data (PBE) for TmThOs after structural relaxation.

symmetry = I4mm, No. 107
energy above the most stable polymorph in this dataset = 121 meV/atom
DOS(E_F) = 1.25 states/eV per atom
total moment = 0.0 μB per formula unit
energy relative to the elements = -0.1751 eV/atom
final energy = -7.882 eV per atom
calculated density = 12.76 g/cm3

a = 3.396 Å, b = 3.396 Å, c = 7.090 Å
α = 103.85°, β = 103.85°, γ = 90.00°
Positions (direct):
Tm 0.038 0.038 0.075
Os 0.664 0.664 0.329
Th 0.298 0.298 0.596

***

Entry 5:
Density functional theory data (PBE) for Mo2PtC after structural relaxation.

symmetry = P-3m1, No. 164
DOS(E_F) = 0.62 states/eV per atom
total moment = 0.0 μB per formula unit
energy relative to the elements = -0.1394 eV/atom
final energy = -9.371 eV per atom
calculated density = 12.54 g/cm3

a = 2.936 Å, b = 2.939 Å, c = 7.654 Å
α = 112.54°, β = 78.96°, γ = 119.97°
Positions (direct):
Mo 0.356 0.100 0.233
Mo 0.691 0.406 0.871
Pt 0.023 0.753 0.552
C 0.023 0.253 0.052

***

Entry 6:
Density functional theory data (PBE) for Na2AlO after structural relaxation.

symmetry = Fm-3m, No. 225
energy above the most stable polymorph in this dataset = 780 meV/atom
DOS(E_F) = 0.38 states/eV per atom
uncorrected formation energy = 55.8 meV per atom
total moment = 0.0 μB per formula unit
final energy = -2.779 eV per atom
calculated density = 1.96 g/cm3

a = 4.738 Å, b = 4.738 Å, c = 4.738 Å
α = 60.00°, β = 60.00°, γ = 60.00°
Positions (direct):
Na 0.250 0.250 0.250
Na 0.750 0.750 0.750
Al 0.500 0.500 0.500
O 0.000 0.000 0.000

***

Entry 7:
Density functional theory data (PBE) for Zr6Co2Sn after structural relaxation.

symmetry = Immm, No. 71
DOS(E_F) = 1.34 states/eV per atom
total moment = 0.0 μB per formula unit
energy relative to the elements = -0.2559 eV/atom
final energy = -7.978 eV per atom
calculated density = 7.11 g/cm3

a = 7.848 Å, b = 7.848 Å, c = 7.848 Å
α = 101.18°, β = 114.08°, γ = 113.45°
Positions (direct):
Zr 0.511 0.812 0.699
Zr 0.489 0.188 0.301
Zr 0.112 0.812 0.301
Zr 0.888 0.188 0.699
Zr 0.794 0.034 0.240
Zr 0.206 0.966 0.760
Zr 0.206 0.446 0.240
Zr 0.794 0.554 0.760
Zr 0.694 0.328 0.021
Zr 0.306 0.672 0.979
Zr 0.306 0.328 0.634
Zr 0.694 0.672 0.366
Co 0.500 0.125 0.625
Co 0.500 0.875 0.375
Co 0.650 0.650 0.000
Co 0.350 0.350 0.000
Sn 0.000 0.500 0.500
Sn 0.000 0.000 0.000

***

Entry 8:
Density functional theory data (PBE) for HfZn2TeO8 after structural relaxation.

symmetry = I-4m2, No. 119
DOS(E_F) = 0.64 states/eV per atom
uncorrected formation energy = -1332.9 meV per atom
total moment = 0.0 μB per formula unit
final energy = -5.942 eV per atom
calculated density = 6.58 g/cm3

a = 5.701 Å, b = 5.701 Å, c = 5.701 Å
α = 110.40°, β = 110.40°, γ = 107.63°
Positions (direct):
Hf 0.250 0.750 0.500
Zn 0.750 0.250 0.500
Zn 0.500 0.500 0.000
Te 0.000 0.000 0.000
O 0.342 0.035 0.307
O 0.278 0.458 0.180
O 0.278 0.098 0.820
O 0.729 0.035 0.693
O 0.902 0.722 0.180
O 0.965 0.271 0.307
O 0.965 0.658 0.693
O 0.542 0.722 0.820

***

Entry 9:
Density functional theory data (PBE) for Cd2InRh after structural relaxation.

symmetry = C2/m, No. 12
DOS(E_F) = 0.49 states/eV per atom
total moment = 0.0 μB per formula unit
energy relative to the elements = -0.0063 eV/atom
final energy = -2.986 eV per atom
calculated density = 9.38 g/cm3

a = 5.896 Å, b = 5.896 Å, c = 3.119 Å
α = 74.68°, β = 74.68°, γ = 121.04°
Positions (direct):
Cd 0.500 0.000 0.000
Cd 0.000 0.500 0.000
In 0.500 0.500 0.500
Rh 0.000 0.000 0.500

***

Entry 10:
Density functional theory data (PBE) for BeTlPO4 after structural relaxation.

symmetry = Pna2_1, No. 33
DOS(E_F) = 0.00 states/eV per atom
uncorrected formation energy = -2202.2 meV per atom
total moment = 0.0 μB per formula unit
final energy = -6.679 eV per atom
calculated density = 5.35 g/cm3

a = 4.922 Å, b = 8.193 Å, c = 9.500 Å
α = 90.00°, β = 90.00°, γ = 90.00°
Positions (direct):
Be 0.966 0.113 0.852
Be 0.466 0.887 0.148
Be 0.466 0.613 0.648
Be 0.966 0.387 0.352
Tl 0.972 0.843 0.539
Tl 0.472 0.157 0.461
Tl 0.472 0.343 0.961
Tl 0.972 0.657 0.039
P 0.466 0.917 0.831
P 0.966 0.083 0.169
P 0.966 0.417 0.669
P 0.466 0.583 0.331
O 0.551 0.788 0.721
O 0.051 0.212 0.279
O 0.051 0.288 0.779
O 0.551 0.712 0.221
O 0.500 0.843 0.980
O 0.000 0.157 0.020
O 0.000 0.343 0.520
O 0.500 0.657 0.480
O 0.166 0.966 0.804
O 0.666 0.034 0.196
O 0.666 0.466 0.696
O 0.166 0.534 0.304
O 0.650 0.070 0.814
O 0.150 0.930 0.186
O 0.150 0.570 0.686
O 0.650 0.430 0.314

***

Entry 11:
Density functional theory data (PBE) for Li2GeO after structural relaxation.

symmetry = Fm-3m, No. 225
energy above the most stable polymorph in this dataset = 564 meV/atom
DOS(E_F) = 0.51 states/eV per atom
uncorrected formation energy = -217.1 meV per atom
total moment = 0.0 μB per formula unit
final energy = -3.568 eV per atom
calculated density = 3.28 g/cm3

a = 4.188 Å, b = 4.188 Å, c = 4.188 Å
α = 60.00°, β = 60.00°, γ = 60.00°
Positions (direct):
Ge 0.500 0.500 0.500
O 0.000 0.000 0.000
Li 0.250 0.250 0.250
Li 0.750 0.750 0.750

***

Entry 12:
Density functional theory data (PBE) for Sn3Sb4 after structural relaxation.

symmetry = I4/mmm, No. 139
DOS(E_F) = 0.73 states/eV per atom
uncorrected formation energy = 207.0 meV per atom
total moment = 0.0 μB per formula unit
final energy = -3.864 eV per atom
calculated density = 6.23 g/cm3

a = 6.084 Å, b = 6.084 Å, c = 7.440 Å
α = 114.13°, β = 114.13°, γ = 90.00°
Positions (direct):
Sn 0.750 0.250 0.500
Sn 0.250 0.750 0.500
Sn 0.000 0.000 0.000
Sb 0.248 0.248 0.496
Sb 0.000 0.500 0.000
Sb 0.500 0.000 0.000
Sb 0.752 0.752 0.504

***

Entry 13:
Density functional theory data (PBE) for CaSb2Pt after structural relaxation.

symmetry = Pmm2, No. 25
DOS(E_F) = 0.48 states/eV per atom
uncorrected formation energy = -454.8 meV per atom
total moment = 0.0 μB per formula unit
final energy = -4.527 eV per atom
calculated density = 8.28 g/cm3

a = 5.164 Å, b = 3.327 Å, c = 5.586 Å
α = 89.95°, β = 90.00°, γ = 90.00°
Positions (direct):
Sb 0.000 0.999 0.968
Sb 0.500 0.001 0.278
Ca 0.000 0.500 0.492
Pt 0.500 0.000 0.762

***

Entry 14:
Density functional theory data (PBE) for CaIn2POs after structural relaxation.

symmetry = P4/mmm, No. 123
energy above the most stable polymorph in this dataset = 575 meV/atom
DOS(E_F) = 0.58 states/eV per atom
total moment = 1.4 μB per formula unit
energy relative to the elements = 0.8991 eV/atom
final energy = -3.925 eV per atom
calculated density = 6.30 g/cm3

a = 5.000 Å, b = 5.172 Å, c = 5.000 Å
α = 90.00°, β = 90.00°, γ = 90.00°
Positions (direct):
P 0.000 0.000 0.000
Ca 0.000 0.500 0.000
Os 0.500 0.500 0.500
In 0.000 0.000 0.500
In 0.500 0.000 0.000

***

Entry 15:
Density functional theory data (PBE) for K2CoRh after structural relaxation.

symmetry = Imm2, No. 44
energy above the most stable polymorph in this dataset = 191 meV/atom
DOS(E_F) = 1.09 states/eV per atom
total moment = 2.4 μB per formula unit
energy relative to the elements = 0.6415 eV/atom
final energy = -3.522 eV per atom
calculated density = 3.50 g/cm3

a = 6.097 Å, b = 6.097 Å, c = 6.097 Å
α = 141.55°, β = 124.65°, γ = 69.41°
Positions (direct):
Co 0.321 0.821 0.500
K 0.027 0.027 0.000
K 0.723 0.223 0.500
Rh 0.429 0.429 0.000

***

Entry 16:
Density functional theory data (PBE) for KTmGeO4 after structural relaxation.

symmetry = P2_1/m, No. 11
DOS(E_F) = 0.00 states/eV per atom
uncorrected formation energy = -2402.8 meV per atom
total moment = 0.0 μB per formula unit
final energy = -6.691 eV per atom
calculated density = 4.87 g/cm3

a = 5.696 Å, b = 5.855 Å, c = 7.424 Å
α = 90.00°, β = 108.35°, γ = 90.00°
Positions (direct):
K 0.683 0.750 0.933
K 0.317 0.250 0.067
Tm 0.802 0.750 0.463
Tm 0.198 0.250 0.537
Ge 0.260 0.750 0.340
Ge 0.740 0.250 0.660
O 0.959 0.477 0.677
O 0.041 0.977 0.323
O 0.041 0.523 0.323
O 0.959 0.023 0.677
O 0.456 0.750 0.197
O 0.544 0.250 0.803
O 0.477 0.750 0.570
O 0.523 0.250 0.430

***

Entry 17:
Density functional theory data (PBE) for SrSmP2Pd2 after structural relaxation.

symmetry = P-3m1, No. 164
DOS(E_F) = 0.28 states/eV per atom
total moment = 0.0 μB per formula unit
energy relative to the elements = -1.1485 eV/atom
final energy = -5.750 eV per atom
calculated density = 6.74 g/cm3

a = 4.190 Å, b = 4.190 Å, c = 8.311 Å
α = 90.00°, β = 90.00°, γ = 120.00°
Positions (direct):
Sr 0.000 0.000 0.000
Sm 0.000 0.000 0.500
P 0.333 0.667 0.271
P 0.667 0.333 0.729
Pd 0.333 0.667 0.738
Pd 0.667 0.333 0.262

***

Entry 18:
Density functional theory data (PBE) for ScRe2Ag after structural relaxation.

symmetry = I-42d, No. 122
energy above the most stable polymorph in this dataset = 534 meV/atom
DOS(E_F) = 0.61 states/eV per atom
total moment = 0.0 μB per formula unit
energy relative to the elements = 0.5746 eV/atom
final energy = -7.945 eV per atom
calculated density = 11.86 g/cm3

a = 3.833 Å, b = 3.833 Å, c = 10.375 Å
α = 79.35°, β = 79.35°, γ = 90.00°
Positions (direct):
Sc 0.500 0.500 0.000
Sc 0.250 0.750 0.500
Re 0.578 0.125 0.250
Re 0.172 0.625 0.250
Re 0.375 0.422 0.750
Re 0.875 0.828 0.750
Ag 0.000 0.000 0.000
Ag 0.750 0.250 0.500

***

Entry 19:
Density functional theory data (PBE) for Ba2MnCrI after structural relaxation.

symmetry = P4/mmm, No. 123
DOS(E_F) = 1.04 states/eV per atom
uncorrected formation energy = 605.5 meV per atom
total moment = 0.3 μB per formula unit
final energy = -4.232 eV per atom
calculated density = 3.73 g/cm3

a = 6.597 Å, b = 6.597 Å, c = 5.197 Å
α = 90.00°, β = 90.00°, γ = 90.00°
Positions (direct):
I 0.000 0.000 0.000
Cr 0.000 0.000 0.500
Mn 0.500 0.500 0.500
Ba 0.000 0.500 0.000
Ba 0.500 0.000 0.000

***

Entry 20:
Density functional theory data (PBE) for Th12Sn6C after structural relaxation.

symmetry = R-3, No. 148
DOS(E_F) = 1.05 states/eV per atom
total moment = 0.0 μB per formula unit
energy relative to the elements = -0.1541 eV/atom
final energy = -6.590 eV per atom
calculated density = 9.56 g/cm3

a = 8.596 Å, b = 8.596 Å, c = 8.596 Å
α = 98.95°, β = 98.95°, γ = 98.95°
Positions (direct):
Th 0.807 0.571 0.453
Th 0.453 0.807 0.571
Th 0.571 0.453 0.807
Th 0.193 0.429 0.547
Th 0.547 0.193 0.429
Th 0.429 0.547 0.193
Th 0.055 0.024 0.305
Th 0.976 0.695 0.945
Th 0.695 0.945 0.976
Th 0.945 0.976 0.695
Th 0.024 0.305 0.055
Th 0.305 0.055 0.024
Sn 0.696 0.878 0.331
Sn 0.669 0.304 0.122
Sn 0.122 0.669 0.304
Sn 0.304 0.122 0.669
Sn 0.331 0.696 0.878
Sn 0.878 0.331 0.696
C 0.000 0.000 0.000